Record 1
A plane-wave DFT calculation with meta-GGA SCAN was carried out for a crystal of CaCr2Ru relaxed with PBEsol.

Calculated formation energy   0.3480 eV/atom
Total moment   6.301 μB/f.u.
Electronic total energy   -19.97 eV/atom

Cell lengths 2.955, 2.955, 7.822 Å; angles 90.00, 90.00, 90.00 degrees
Each line ends with the local moment (μB).
Positions (direct):
Ru 0.500 0.500 0.000  -0.67
Ca 0.500 0.500 0.500  0.00
Cr 0.000 0.000 0.810  3.18
Cr 0.000 0.000 0.190  3.18



Record 2
A plane-wave DFT calculation with meta-GGA SCAN was carried out for a crystal of Cr3NiP4O16 relaxed with PBEsol.

Total moment   10.000 μB/f.u.
Electronic total energy   -11.20 eV/atom
Formation energy without anion corrections   -2.344 eV per atom

Cell lengths 4.667, 5.594, 9.714 Å; angles 90.00, 90.06, 90.00 degrees
Each line ends with the local moment (μB).
Positions (direct):
Cr 0.541 0.000 0.770  2.72
Cr 0.453 0.500 0.230  2.55
Cr 0.045 0.500 0.731  2.77
Ni 0.949 0.000 0.270  1.47
P 0.888 0.500 0.409  0.01
P 0.605 0.500 0.912  0.01
P 0.405 0.000 0.091  0.01
P 0.103 0.000 0.588  0.01
O 0.828 0.500 0.563  0.01
O 0.727 0.289 0.333  0.02
O 0.727 0.711 0.333  0.02
O 0.782 0.000 0.614  0.01
O 0.728 0.000 0.105  -0.02
O 0.760 0.288 0.833  0.00
O 0.760 0.712 0.833  0.00
O 0.679 0.500 0.064  0.01
O 0.327 0.000 0.937  -0.01
O 0.253 0.784 0.166  0.02
O 0.253 0.216 0.166  0.02
O 0.284 0.500 0.890  0.02
O 0.210 0.500 0.385  0.01
O 0.259 0.788 0.669  0.00
O 0.259 0.212 0.669  0.00
O 0.176 0.000 0.437  0.00



Record 3
A plane-wave DFT calculation with meta-GGA SCAN was carried out for a crystal of CsNa2Cd2 relaxed with PBEsol.

Calculated formation energy   -0.0150 eV/atom
Total moment   0.000 μB/f.u.
Energy above the lowest structure with this stoichiometry   21 meV/atom
Electronic total energy   -21.43 eV/atom

Cell lengths 3.715, 9.445, 9.445 Å; angles 90.00, 90.00, 90.00 degrees
Positions (direct):
Cs 0.000 0.000 0.000
Cs 0.000 0.500 0.500
Na 0.500 0.173 0.673
Na 0.500 0.673 0.827
Na 0.500 0.827 0.327
Na 0.500 0.327 0.173
Cd 0.000 0.390 0.890
Cd 0.000 0.890 0.610
Cd 0.000 0.610 0.110
Cd 0.000 0.110 0.390



Record 4
A plane-wave DFT calculation with meta-GGA SCAN was carried out for a crystal of MnCrFe2 relaxed with PBEsol.

Calculated formation energy   -0.0420 eV/atom
Total moment   5.402 μB/f.u.
Electronic total energy   -18.27 eV/atom

Cell lengths 2.852, 3.848, 4.641 Å; angles 114.49, 107.89, 90.00 degrees
Each line ends with the local moment (μB).
Positions (direct):
Cr 0.000 0.500 0.000  -2.16
Mn 0.500 0.000 0.000  2.71
Fe 0.749 0.749 0.497  2.47
Fe 0.251 0.251 0.503  2.47



Record 5
A plane-wave DFT calculation with meta-GGA SCAN was carried out for a crystal of ZnSb2Os relaxed with PBEsol.

Total moment   0.000 μB/f.u.
Electronic total energy   -39.60 eV/atom
Formation energy without anion corrections   0.375 eV per atom

Cell lengths 3.154, 3.154, 7.814 Å; angles 90.00, 90.00, 90.00 degrees
Positions (direct):
Os 0.500 0.500 0.500
Sb 0.000 0.000 0.719
Sb 0.000 0.000 0.281
Zn 0.500 0.500 0.000



Record 6
A plane-wave DFT calculation with meta-GGA SCAN was carried out for a crystal of MnTlHg2 relaxed with PBEsol.

Calculated formation energy   0.1113 eV/atom
Total moment   4.235 μB/f.u.
Electronic total energy   -56.63 eV/atom

Cell lengths 3.446, 4.516, 5.898 Å; angles 90.00, 109.37, 90.00 degrees
Each line ends with the local moment (μB).
Positions (direct):
Hg 0.660 0.000 0.772  0.00
Hg 0.340 0.000 0.228  0.00
Mn 0.500 0.500 0.000  4.19
Tl 0.000 0.500 0.500  -0.04



Record 7
A plane-wave DFT calculation with meta-GGA SCAN was carried out for a crystal of CaCoMo2 relaxed with PBEsol.

Calculated formation energy   0.8511 eV/atom
Total moment   0.003 μB/f.u.
Energy above the lowest structure with this stoichiometry   0 meV/atom
Electronic total energy   -23.33 eV/atom

Cell lengths 3.710, 3.710, 5.350 Å; angles 110.29, 110.29, 90.00 degrees
Positions (direct):
Mo 0.750 0.250 0.500
Mo 0.250 0.750 0.500
Co 0.000 0.000 0.000
Ca 0.500 0.500 0.000



Record 8
A plane-wave DFT calculation with meta-GGA SCAN was carried out for a crystal of NdSn3 relaxed with PBEsol.

Calculated formation energy   -0.5497 eV/atom
Total moment   0.000 μB/f.u.
Electronic total energy   -38.39 eV/atom

Cell lengths 4.686, 4.686, 4.686 Å; angles 90.00, 90.00, 90.00 degrees
Positions (direct):
Nd 0.000 0.000 0.000
Sn 0.500 0.000 0.500
Sn 0.000 0.500 0.500
Sn 0.500 0.500 0.000